Compound: GaBSbTe2
Source: Alexandria via LeMat-Bulk
Functional: SCAN
Structure: single point on PBEsol structure

The structure in CIF format:
```
data_GaBSbTe2
_chemical_formula_sum 'Ga1 B1 Sb1 Te2'
_cell_length_a 5.005
_cell_length_b 5.005
_cell_length_c 4.602
_cell_angle_alpha 90.00
_cell_angle_beta 90.00
_cell_angle_gamma 90.00
_space_group_name_H-M_alt 'P 4/m m m'
_space_group_IT_number 123
_space_group_name_Hall '-P 4 2'
loop_
_atom_site_label
_atom_site_type_symbol
_atom_site_fract_x
_atom_site_fract_y
_atom_site_fract_z
Ga1 Ga 0.000 0.000 0.000
B1 B 0.500 0.500 0.500
Sb1 Sb 0.500 0.500 0.000
Te1 Te 0.000 0.500 0.500
```

E_tot = -131.968 eV for the cell shown
Magnetic moment = 0.00 μB/atom
Uncorrected formation energy = 0.71 eV/atom